(1)
## NpHN2Cl (PBE)

Data for a relaxed NpHN2Cl crystal.

Geometry as POSCAR:
```
NpHN2Cl
1.0
-1.515 -2.752 -1.305
3.138 -3.700 4.159
-5.577 1.204 3.936
Cl N Np H
2 4 2 2
direct
0.750 0.221 0.051
0.250 0.779 0.949
0.750 0.957 0.631
0.250 0.650 0.327
0.750 0.350 0.673
0.250 0.043 0.369
0.750 0.855 0.303
0.250 0.145 0.697
0.750 0.506 0.736
0.250 0.494 0.264
```

Computed properties:
The value obtained for the calculated total energy is -7.6190 eV per atom. As for the symmetry: P2_1/m (11). The calculation puts the magnetization at 0.200 μB/atom.

***

(2)
## ZrTe2Os (PBE)

Data for a relaxed ZrTe2Os crystal.

Geometry as POSCAR:
```
ZrTe2Os
1.0
-0.274 -1.250 2.926
2.118 -2.263 -0.769
7.038 5.556 3.032
Te Zr Os
2 1 1
direct
0.500 0.500 0.311
0.000 0.000 0.909
0.000 0.000 0.536
0.500 0.500 0.744
```

Computed properties:
The value obtained for the calculated total energy is -6.6417 eV per atom. As for the symmetry: P4mm (99). The value obtained for the uncorrected formation energy is -12.2 kJ per mole of atoms. Its excess energy over the best structure of this formula in the dataset is 0.70 eV per formula unit. The calculation puts the magnetization at 0.000 μB/atom.

***

(3)
## ZrCuPd3 (PBE)

Data for a relaxed ZrCuPd3 crystal.

Geometry as POSCAR:
```
ZrCuPd3
1.0
-3.778 -0.592 1.256
0.716 -5.514 -0.446
4.502 -0.491 13.309
Pd Cu Zr
12 4 4
direct
0.750 0.911 0.856
0.750 0.841 0.248
0.250 0.646 0.953
0.750 0.854 0.453
0.250 0.159 0.752
0.250 0.089 0.144
0.250 0.146 0.547
0.250 0.589 0.356
0.750 0.341 0.252
0.750 0.354 0.047
0.250 0.659 0.748
0.750 0.411 0.644
0.750 0.370 0.449
0.250 0.630 0.551
0.250 0.130 0.949
0.750 0.870 0.051
0.250 0.093 0.350
0.250 0.593 0.150
0.750 0.407 0.850
0.750 0.907 0.650
```

Computed properties:
The value obtained for the calculated total energy is -6.2281 eV per atom. As for the symmetry: Pnma (62). Its excess energy over the best structure of this formula in the dataset is 0.00 eV per formula unit. The calculation puts the magnetization at 0.000 μB/atom. For the formation energy, the calculation gives -584 meV/atom.

***

(4)
## PuCdAg (PBE)

Data for a relaxed PuCdAg crystal.

Geometry as POSCAR:
```
PuCdAg
1.0
3.015 0.000 0.000
0.000 5.092 0.000
0.000 -2.546 4.410
Cd Pu Ag
1 1 1
direct
0.834 0.000 0.000
0.333 0.667 0.333
0.833 0.333 0.667
```

Computed properties:
The value obtained for the calculated total energy is -6.1107 eV per atom. As for the symmetry: P-6m2 (187). The calculation puts the magnetization at 1.956 μB/atom. For the formation energy, the calculation gives -78 meV/atom.

***

(5)
## LaTb2PmHg4 (PBE)

Data for a relaxed LaTb2PmHg4 crystal.

Geometry as POSCAR:
```
LaTb2PmHg4
1.0
-4.048 0.444 3.512
-2.262 -4.418 2.068
3.667 -1.176 8.491
Tb La Hg Pm
2 1 4 1
direct
0.249 0.249 0.252
0.751 0.751 0.748
0.000 0.000 0.000
0.623 0.623 0.131
0.874 0.874 0.379
0.126 0.126 0.621
0.377 0.377 0.869
0.500 0.500 0.500
```

Computed properties:
The value obtained for the calculated total energy is -2.9917 eV per atom. As for the symmetry: R-3m (166). The calculation puts the magnetization at 0.161 μB/atom. For the formation energy, the calculation gives -473 meV/atom.

***

(6)
## Hf2Zr2Co (PBE)

Data for a relaxed Hf2Zr2Co crystal.

Geometry as POSCAR:
```
Hf2Zr2Co
1.0
-3.073 -3.173 0.420
1.399 -0.796 4.221
-6.808 7.071 3.591
Hf Zr Co
4 4 2
direct
0.500 0.997 0.852
0.500 0.003 0.148
0.500 0.497 0.648
0.500 0.503 0.352
0.000 0.997 0.649
0.000 0.003 0.351
0.000 0.497 0.851
0.000 0.503 0.149
0.000 0.500 0.500
0.000 0.000 0.000
```

Computed properties:
The value obtained for the calculated total energy is -8.8636 eV per atom. As for the symmetry: Pbam (55). Its excess energy over the best structure of this formula in the dataset is 0.00 eV per formula unit. The calculation puts the magnetization at 0.000 μB/atom. For the formation energy, the calculation gives -42 meV/atom.

***

(7)
## K3MoH7 (PBE)

Data for a relaxed K3MoH7 crystal.

Geometry as POSCAR:
```
K3MoH7
1.0
5.659 -0.117 2.534
-0.799 5.603 2.534
0.827 0.934 5.999
Mo H K
1 7 3
direct
0.967 0.967 0.020
0.176 0.176 0.022
0.258 0.025 0.675
0.764 0.764 0.008
0.025 0.258 0.675
0.749 0.749 0.450
0.107 0.706 0.138
0.706 0.107 0.138
0.447 0.447 0.063
0.212 0.713 0.530
0.713 0.212 0.530
```

Computed properties:
The value obtained for the calculated total energy is -3.5623 eV per atom. As for the symmetry: Cm (8). The calculation puts the magnetization at 0.182 μB/atom.

***

(8)
## NaTe2IBr (PBE)

Data for a relaxed NaTe2IBr crystal.

Geometry as POSCAR:
```
NaTe2IBr
1.0
-3.946 2.077 -3.513
1.362 -3.936 -3.857
-3.772 -3.455 2.194
Br Te I Na
1 2 1 1
direct
0.500 0.500 0.500
0.500 0.000 0.000
0.000 0.500 0.000
0.000 0.000 0.500
0.000 0.000 0.000
```

Computed properties:
The value obtained for the calculated total energy is -1.7655 eV per atom. As for the symmetry: P4/mmm (123). The value obtained for the uncorrected formation energy is 38.6 kJ per mole of atoms. Its excess energy over the best structure of this formula in the dataset is 1.21 eV per formula unit. The calculation puts the magnetization at 0.000 μB/atom.

***

(9)
## Ba3CuAu2O6 (PBE)

Data for a relaxed Ba3CuAu2O6 crystal.

Geometry as POSCAR:
```
Ba3CuAu2O6
1.0
5.938 0.000 0.000
-2.969 5.143 0.000
0.000 0.000 6.816
O Cu Au Ba
6 1 2 3
direct
0.318 0.159 0.675
0.159 0.841 0.325
0.159 0.318 0.325
0.682 0.841 0.325
0.841 0.682 0.675
0.841 0.159 0.675
0.000 0.000 0.500
0.333 0.667 0.141
0.667 0.333 0.859
0.333 0.667 0.634
0.667 0.333 0.366
0.000 0.000 0.000
```

Computed properties:
The value obtained for the calculated total energy is -5.0356 eV per atom. As for the symmetry: P-3m1 (164). The value obtained for the uncorrected formation energy is -114.7 kJ per mole of atoms. The calculation puts the magnetization at 0.000 μB/atom.

***

(10)
## Sm2DyZn2Ge2 (PBE)

Data for a relaxed Sm2DyZn2Ge2 crystal.

Geometry as POSCAR:
```
Sm2DyZn2Ge2
1.0
-3.561 1.163 1.807
-3.602 -0.432 -2.034
-3.578 -10.083 4.227
Sm Ge Zn Dy
2 2 2 1
direct
0.878 0.878 0.366
0.122 0.122 0.634
0.271 0.271 0.186
0.729 0.729 0.814
0.608 0.608 0.175
0.392 0.392 0.825
0.000 0.000 0.000
```

Computed properties:
The value obtained for the calculated total energy is -4.1557 eV per atom. As for the symmetry: R-3m (166). The calculation puts the magnetization at 0.000 μB/atom. For the formation energy, the calculation gives -467 meV/atom.

***

(11)
## LaTbNd (PBE)

Data for a relaxed LaTbNd crystal.

Geometry as POSCAR:
```
LaTbNd
1.0
-1.307 0.395 3.294
3.467 -5.189 0.067
7.525 6.060 2.260
Tb La Nd
2 2 2
direct
0.869 0.738 0.577
0.131 0.262 0.423
0.613 0.227 0.737
0.387 0.773 0.263
0.644 0.287 0.098
0.356 0.713 0.902
```

Computed properties:
The value obtained for the calculated total energy is -4.6761 eV per atom. As for the symmetry: C2/m (12). Its excess energy over the best structure of this formula in the dataset is 0.24 eV per formula unit. The calculation puts the magnetization at 0.000 μB/atom. For the formation energy, the calculation gives 99 meV/atom.

***

(12)
## AgMo3Se (PBE)

Data for a relaxed AgMo3Se crystal.

Geometry as POSCAR:
```
AgMo3Se
1.0
4.613 0.000 0.000
0.000 4.613 0.000
0.000 0.000 4.613
Ag Mo Se
1 3 1
direct
0.500 0.500 0.500
0.500 0.000 0.000
0.000 0.000 0.500
0.000 0.500 0.000
0.000 0.000 0.000
```

Computed properties:
The value obtained for the calculated total energy is -6.5627 eV per atom. As for the symmetry: Pm-3m (221). The value obtained for the uncorrected formation energy is 116.1 kJ per mole of atoms. Its excess energy over the best structure of this formula in the dataset is 0.00 eV per formula unit. The calculation puts the magnetization at 0.000 μB/atom.

***

(13)
## Al3CoPt (PBE)

Data for a relaxed Al3CoPt crystal.

Geometry as POSCAR:
```
Al3CoPt
1.0
-2.646 2.844 -1.998
0.445 -2.212 -3.740
-3.447 -2.469 1.050
Pt Al Co
1 3 1
direct
0.500 0.500 0.500
0.500 0.000 0.000
0.000 0.000 0.500
0.000 0.500 0.000
0.000 0.000 0.000
```

Computed properties:
The value obtained for the calculated total energy is -4.9266 eV per atom. As for the symmetry: Pm-3m (221). Its excess energy over the best structure of this formula in the dataset is 0.00 eV per formula unit. The calculation puts the magnetization at 0.000 μB/atom. For the formation energy, the calculation gives -52 meV/atom.

***

(14)
## VHgOs3 (PBE)

Data for a relaxed VHgOs3 crystal.

Geometry as POSCAR:
```
VHgOs3
1.0
4.527 0.000 0.000
0.000 4.527 0.000
0.000 0.000 4.527
Os V Hg
3 1 1
direct
0.000 0.500 0.000
0.000 0.000 0.500
0.500 0.000 0.000
0.000 0.000 0.000
0.500 0.500 0.500
```

Computed properties:
The value obtained for the calculated total energy is -6.9087 eV per atom. As for the symmetry: Pm-3m (221). Its excess energy over the best structure of this formula in the dataset is 0.00 eV per formula unit. The calculation puts the magnetization at 0.115 μB/atom. For the formation energy, the calculation gives 1713 meV/atom.

***

(15)
## Hf4Zr2ScTi (PBE)

Data for a relaxed Hf4Zr2ScTi crystal.

Geometry as POSCAR:
```
Hf4Zr2ScTi
1.0
-5.746 -5.202 -3.253
2.782 1.785 -7.729
5.572 -1.328 8.543
Hf Zr Sc Ti
8 4 2 2
direct
0.243 0.761 0.002
0.752 0.749 0.513
0.757 0.239 0.998
0.751 0.748 0.987
0.739 0.257 0.498
0.248 0.252 0.013
0.248 0.252 0.487
0.261 0.743 0.502
0.500 0.000 0.000
0.000 0.000 0.500
0.500 0.000 0.500
0.500 0.500 0.000
0.000 0.500 0.500
0.000 0.500 0.000
0.000 0.000 0.000
0.500 0.500 0.500
```

Computed properties:
The value obtained for the calculated total energy is -8.4426 eV per atom. As for the symmetry: Imma (74). The calculation puts the magnetization at 0.000 μB/atom. For the formation energy, the calculation gives 449 meV/atom.

***

(16)
## CrReHW2 (PBE)

Data for a relaxed CrReHW2 crystal.

Geometry as POSCAR:
```
CrReHW2
1.0
4.308 0.000 0.000
0.000 4.308 0.000
0.000 0.000 3.322
Re W Cr H
1 2 1 1
direct
0.500 0.500 0.500
0.000 0.500 0.000
0.500 0.000 0.000
0.000 0.000 0.500
0.000 0.000 0.000
```

Computed properties:
The value obtained for the calculated total energy is -10.0730 eV per atom. As for the symmetry: P4/mmm (123). The calculation puts the magnetization at 0.109 μB/atom.

***

(17)
## Rb2TiIrI6 (PBE)

Data for a relaxed Rb2TiIrI6 crystal.

Geometry as POSCAR:
```
Rb2TiIrI6
1.0
8.049 0.000 0.000
0.000 8.049 0.000
4.025 4.025 5.654
Rb I Ti Ir
2 6 1 1
direct
0.750 0.250 0.500
0.250 0.750 0.500
0.752 0.248 0.000
0.247 0.247 0.506
0.752 0.752 0.000
0.753 0.753 0.494
0.248 0.248 0.000
0.248 0.752 0.000
0.500 0.500 0.000
0.000 0.000 0.000
```

Computed properties:
The value obtained for the calculated total energy is -3.3633 eV per atom. As for the symmetry: I4/mmm (139). The value obtained for the uncorrected formation energy is -54.4 kJ per mole of atoms. The calculation puts the magnetization at 0.002 μB/atom.

***

(18)
## Ta2W2N (PBE)

Data for a relaxed Ta2W2N crystal.

Geometry as POSCAR:
```
Ta2W2N
1.0
-2.648 4.922 0.018
-0.722 -0.369 -5.530
-4.431 -2.387 0.738
W Ta N
4 4 2
direct
0.667 0.833 0.500
0.333 0.167 0.500
0.167 0.667 0.500
0.833 0.333 0.500
0.170 0.330 0.000
0.330 0.830 0.000
0.830 0.670 0.000
0.670 0.170 0.000
0.000 0.000 0.000
0.500 0.500 0.000
```

Computed properties:
The value obtained for the calculated total energy is -11.3241 eV per atom. As for the symmetry: P4/mbm (127). The value obtained for the uncorrected formation energy is 25.4 kJ per mole of atoms. Its excess energy over the best structure of this formula in the dataset is 0.00 eV per formula unit. The calculation puts the magnetization at 0.000 μB/atom.